1.
A relaxed structure of AlSb2OsI, computed with GGA-PBE.

Summary:
- Fermi-level density of states: 0.8755 states/eV/atom
- Excess energy over the best structure of this formula in the dataset: 794 meV per atom
- E_form (uncorrected): 1.501 eV/atom

abc: 5.254 5.254 5.189
angles: 90.00 90.00 90.00
Atoms (fractional coordinates):
I 0.000 0.000 0.500
Sb 0.000 0.500 0.000
Sb 0.500 0.000 0.000
Os 0.500 0.500 0.500
Al 0.000 0.000 0.000



2.
A relaxed structure of Si2Tc2Pb, computed with GGA-PBE.

Summary:
- Fermi-level density of states: 0.6605 states/eV/atom
- Excess energy over the best structure of this formula in the dataset: 267 meV per atom
- E_form (uncorrected): 0.140 eV/atom

abc: 7.468 7.468 2.930
angles: 90.00 90.00 90.00
Atoms (fractional coordinates):
Pb 0.000 0.000 0.000
Pb 0.500 0.500 0.000
Si 0.370 0.870 0.000
Si 0.870 0.630 0.000
Si 0.630 0.130 0.000
Si 0.130 0.370 0.000
Tc 0.150 0.650 0.500
Tc 0.650 0.850 0.500
Tc 0.850 0.350 0.500
Tc 0.350 0.150 0.500



3.
A relaxed structure of InFeSi2, computed with GGA-PBE.

Summary:
- Fermi-level density of states: 0.9039 states/eV/atom
- E_form (uncorrected): 0.528 eV/atom

abc: 4.533 4.533 3.384
angles: 90.00 90.00 109.12
Atoms (fractional coordinates):
Fe 0.500 0.000 0.500
In 0.000 0.500 0.500
Si 0.000 0.000 0.000
Si 0.500 0.500 0.000